No. 1
5
Lattice="-2.593 2.817 0.011 -1.571 -1.434 -3.184 -2.494 -2.304 2.268" Properties=species:S:1:pos:R:3 comment="MgSeN2F SCAN PBEsol geometry" e_above_lowest_polymorph_ev_per_atom=0.000 raw_formation_energy_ev_per_atom=0.385 e_tot_ry_per_atom=-0.66518 rho_g_cm3=4.168 pbc="T T T"
N -1.297 1.409 0.005
N -0.785 -0.717 -1.592
Se 0.000 0.000 0.000
F -1.247 -1.152 1.134
Mg -3.329 -0.460 -0.452

---

No. 2
5
Lattice="-3.201 1.042 -3.750 -2.712 -4.079 1.182 -2.968 2.944 3.351" Properties=species:S:1:pos:R:3 comment="CaInGaMo2 SCAN PBEsol geometry" formation_energy_kj_per_mol_fu=780 e_tot_ry_per_atom=-1.77981 rho_g_cm3=5.084 pbc="T T T"
Mo -1.600 0.521 -1.875
Mo -1.356 -2.040 0.591
Ga -4.440 -0.047 0.391
Ca -1.484 1.472 1.675
In 0.000 0.000 0.000

---

No. 3
4
Lattice="4.505 0.000 0.000 0.000 4.505 0.000 -2.253 -2.253 4.171" Properties=species:S:1:pos:R:3 comment="ScInHg2 SCAN PBEsol geometry" formation_energy_kj_per_mol_fu=-133 e_tot_ry_per_atom=-3.40542 rho_g_cm3=11.002 pbc="T T T"
Hg 0.000 2.253 2.085
Hg 2.253 0.000 2.085
In 0.000 0.000 0.000
Sc 2.253 2.253 0.000